Record 1
VASP calculation (GGA-PBE) on a relaxed structure of PuMn2Rh.

The structure in CIF format:
```
data_PuMn2Rh
_symmetry_space_group_name_H-M 'P 1'
_symmetry_Int_Tables_number 1
_symmetry_space_group_name_Hall 'P 1'
_cell_length_a 4.489
_cell_length_b 4.489
_cell_length_c 4.376
_cell_angle_alpha 59.14
_cell_angle_beta 59.14
_cell_angle_gamma 60.00
loop_
_atom_site_label
_atom_site_type_symbol
_atom_site_fract_x
_atom_site_fract_y
_atom_site_fract_z
Mn1 Mn 0.209 0.209 0.373
Mn2 Mn 0.791 0.791 0.627
Rh1 Rh 0.500 0.500 0.500
Pu1 Pu 0.000 0.000 0.000
```

Calculated values
- Energy: -9.98 eV/atom

Record 2
VASP calculation (GGA-PBE) on a relaxed structure of PuMn5Rh6.

The structure in CIF format:
```
data_PuMn5Rh6
_symmetry_space_group_name_H-M 'P 1'
_symmetry_Int_Tables_number 1
_symmetry_space_group_name_Hall 'P 1'
_cell_length_a 4.154
_cell_length_b 6.957
_cell_length_c 7.421
_cell_angle_alpha 117.95
_cell_angle_beta 106.25
_cell_angle_gamma 90.00
loop_
_atom_site_label
_atom_site_type_symbol
_atom_site_fract_x
_atom_site_fract_y
_atom_site_fract_z
Rh1 Rh 0.836 0.087 0.672
Rh2 Rh 0.164 0.415 0.328
Rh3 Rh 0.500 0.732 0.000
Rh4 Rh 0.836 0.585 0.672
Rh5 Rh 0.164 0.913 0.328
Rh6 Rh 0.500 0.268 0.000
Mn1 Mn 0.325 0.325 0.649
Mn2 Mn 0.682 0.182 0.363
Mn3 Mn 0.675 0.675 0.351
Mn4 Mn 0.000 0.500 0.000
Mn5 Mn 0.318 0.818 0.637
Pu1 Pu 0.000 0.000 0.000
```

Calculated values
- Energy: -8.90 eV/atom

Record 3
VASP calculation (GGA-PBE) on a relaxed structure of Pu2MnRh.

The structure in CIF format:
```
data_Pu2MnRh
_symmetry_space_group_name_H-M 'P 1'
_symmetry_Int_Tables_number 1
_symmetry_space_group_name_Hall 'P 1'
_cell_length_a 3.348
_cell_length_b 4.839
_cell_length_c 4.839
_cell_angle_alpha 90.00
_cell_angle_beta 90.00
_cell_angle_gamma 90.00
loop_
_atom_site_label
_atom_site_type_symbol
_atom_site_fract_x
_atom_site_fract_y
_atom_site_fract_z
Mn1 Mn 0.500 0.000 0.000
Pu1 Pu 0.000 0.000 0.500
Pu2 Pu 0.000 0.500 0.000
Rh1 Rh 0.500 0.500 0.500
```

Calculated values
- Energy: -11.46 eV/atom